1.
Entry from the Alexandria database: an optimized crystal structure of RbTeCl3 (PBE-GGA).

a b c (Å): 5.023 8.994 8.989
angles (deg): 80.16 103.04 102.31
Fractional positions:
Rb: 0.204 0.157 0.595
Rb: 0.281 0.748 0.188
Te: 0.744 0.631 0.712
Te: 0.740 0.273 0.070
Cl: 0.835 0.328 0.768
Cl: 0.650 0.576 0.014
Cl: 0.644 0.242 0.336
Cl: 0.651 0.898 0.678
Cl: 0.834 0.006 0.104
Cl: 0.841 0.662 0.446

Properties
E above lowest polymorph in meV per atom: 15
Total magnetic moment in μB per formula unit: 0.00

***

2.
Entry from the Alexandria database: an optimized crystal structure of Rb2VSCl6 (PBE-GGA).

a b c (Å): 8.081 8.081 7.302
angles (deg): 56.41 56.41 90.00
Last column: magnetic moment on the atom in μB.
Fractional positions:
S: 0.500 0.500 0.000  -0.34
Cl: 0.256 0.256 0.489  -0.07
Cl: 0.744 0.744 0.511  -0.07
Cl: 0.207 0.207 0.000  -0.01
Cl: 0.793 0.793 0.000  -0.01
Cl: 0.793 0.207 0.000  -0.02
Cl: 0.207 0.793 0.000  -0.02
Rb: 0.750 0.250 0.500  0.00
Rb: 0.250 0.750 0.500  0.00
V: 0.000 0.000 0.000  1.58

Properties
Total magnetic moment in μB per formula unit: 1.00

***

Per-record energy relative to the elements, uncorrected, eV per atom: -1.030, -1.111